Entry 1:
Compound: BaY2Zr2
Source: Alexandria
Functional: PBE
Structure: optimized geometry

Geometry as CIF:
```
data_BaY2Zr2
_chemical_formula_sum 'Ba2 Y4 Zr4'
_symmetry_space_group_name_H-M 'P 4/m b m'
_symmetry_Int_Tables_number 127
_symmetry_space_group_name_Hall '-P 4 2ab'
_cell_length_a 9.521
_cell_length_b 9.521
_cell_length_c 3.551
_cell_angle_alpha 90.00
_cell_angle_beta 90.00
_cell_angle_gamma 90.00
loop_
_atom_site_label
_atom_site_type_symbol
_atom_site_fract_x
_atom_site_fract_y
_atom_site_fract_z
Ba1 Ba 0.000 0.000 0.000
Y1 Y 0.177 0.323 0.500
Zr1 Zr 0.109 0.609 0.000
```

Properties
- energy relative to the lowest polymorph listed for this composition (meV/atom) = 0
- crystal system = tetragonal
- calculated density (g/cm³) = 5.1
- magnetic moment (μB/cell) = 0.00

Entry 2:
Compound: BaY2Zr
Source: Alexandria
Functional: PBE
Structure: optimized geometry

Geometry as CIF:
```
data_BaY2Zr
_chemical_formula_sum 'Ba1 Y2 Zr1'
_symmetry_space_group_name_H-M 'P 4 m m'
_symmetry_Int_Tables_number 99
_cell_length_a 3.511
_cell_length_b 3.511
_cell_length_c 10.912
_cell_angle_alpha 90.00
_cell_angle_beta 90.00
_cell_angle_gamma 90.00
loop_
_symmetry_equiv_pos_as_xyz
'x,y,z'
'-y,x,z'
'-x,-y,z'
'y,-x,z'
'-x,y,z'
'y,x,z'
'x,-y,z'
'-y,-x,z'
loop_
_atom_site_label
_atom_site_type_symbol
_atom_site_fract_x
_atom_site_fract_y
_atom_site_fract_z
Ba1 Ba 0.000 0.000 0.000
Y1 Y 0.000 0.000 0.535
Y2 Y 0.500 0.500 0.293
Zr1 Zr 0.500 0.500 0.733
```

Properties
- energy relative to the lowest polymorph listed for this composition (meV/atom) = 103
- crystal system = tetragonal
- calculated density (g/cm³) = 5.0
- magnetic moment (μB/cell) = 0.00

Entry 3:
Compound: BaY2Zr
Source: Alexandria
Functional: PBE
Structure: optimized geometry

Geometry as CIF:
```
data_BaY2Zr
_chemical_formula_sum 'Ba2 Y4 Zr2'
_symmetry_space_group_name_H-M 'I -4 m 2'
_symmetry_Int_Tables_number 119
_symmetry_space_group_name_Hall 'I -4 -2'
_cell_length_a 5.089
_cell_length_b 5.089
_cell_length_c 10.183
_cell_angle_alpha 90.00
_cell_angle_beta 90.00
_cell_angle_gamma 90.00
loop_
_atom_site_label
_atom_site_type_symbol
_atom_site_fract_x
_atom_site_fract_y
_atom_site_fract_z
Ba1 Ba 0.000 0.000 0.000
Y1 Y 0.000 0.000 0.500
Y2 Y 0.000 0.500 0.750
Zr1 Zr 0.000 0.500 0.250
```

Properties
- energy relative to the lowest polymorph listed for this composition (meV/atom) = 228
- crystal system = tetragonal
- calculated density (g/cm³) = 5.1
- magnetic moment (μB/cell) = 0.00

Entry 4:
Compound: BaY2Zr
Source: Alexandria
Functional: PBE
Structure: optimized geometry

Geometry as CIF:
```
data_BaY2Zr
_chemical_formula_sum 'Ba2 Y4 Zr2'
_symmetry_space_group_name_H-M 'I m m 2'
_symmetry_Int_Tables_number 44
_cell_length_a 3.656
_cell_length_b 5.968
_cell_length_c 12.237
_cell_angle_alpha 90.00
_cell_angle_beta 90.00
_cell_angle_gamma 90.00
loop_
_symmetry_equiv_pos_as_xyz
'x,y,z'
'-x,-y,z'
'-x,y,z'
'x,-y,z'
'x+1/2,y+1/2,z+1/2'
'-x+1/2,-y+1/2,z+1/2'
'-x+1/2,y+1/2,z+1/2'
'x+1/2,-y+1/2,z+1/2'
loop_
_atom_site_label
_atom_site_type_symbol
_atom_site_fract_x
_atom_site_fract_y
_atom_site_fract_z
Ba1 Ba 0.000 0.000 0.000
Y1 Y 0.000 0.000 0.541
Y2 Y 0.000 0.500 0.782
Zr1 Zr 0.000 0.500 0.255
```

Properties
- energy relative to the lowest polymorph listed for this composition (meV/atom) = 230
- crystal system = orthorhombic
- calculated density (g/cm³) = 5.1
- magnetic moment (μB/cell) = 0.74

Entry 5:
Compound: BaY2Zr
Source: Alexandria
Functional: PBE
Structure: optimized geometry

Geometry as CIF:
```
data_BaY2Zr
_chemical_formula_sum 'Ba1 Y2 Zr1'
_symmetry_space_group_name_H-M 'P 4 m m'
_symmetry_Int_Tables_number 99
_cell_length_a 4.074
_cell_length_b 4.074
_cell_length_c 8.689
_cell_angle_alpha 90.00
_cell_angle_beta 90.00
_cell_angle_gamma 90.00
loop_
_symmetry_equiv_pos_as_xyz
'x,y,z'
'-y,x,z'
'-x,-y,z'
'y,-x,z'
'-x,y,z'
'y,x,z'
'x,-y,z'
'-y,-x,z'
loop_
_atom_site_label
_atom_site_type_symbol
_atom_site_fract_x
_atom_site_fract_y
_atom_site_fract_z
Ba1 Ba 0.000 0.000 0.000
Y1 Y 0.000 0.000 0.561
Y2 Y 0.500 0.500 0.337
Zr1 Zr 0.500 0.500 0.718
```

Properties
- energy relative to the lowest polymorph listed for this composition (meV/atom) = 151
- crystal system = tetragonal
- calculated density (g/cm³) = 4.7
- magnetic moment (μB/cell) = 1.71

Entry 6:
Compound: BaY2Zr
Source: Alexandria
Functional: PBE
Structure: optimized geometry

Geometry as CIF:
```
data_BaY2Zr
_chemical_formula_sum 'Ba1 Y2 Zr1'
_symmetry_space_group_name_H-M 'P 4/m m m'
_symmetry_Int_Tables_number 123
_symmetry_space_group_name_Hall '-P 4 2'
_cell_length_a 5.162
_cell_length_b 5.162
_cell_length_c 4.944
_cell_angle_alpha 90.00
_cell_angle_beta 90.00
_cell_angle_gamma 90.00
loop_
_atom_site_label
_atom_site_type_symbol
_atom_site_fract_x
_atom_site_fract_y
_atom_site_fract_z
Ba1 Ba 0.000 0.000 0.000
Y1 Y 0.000 0.500 0.500
Zr1 Zr 0.500 0.500 0.000
```

Properties
- energy relative to the lowest polymorph listed for this composition (meV/atom) = 230
- crystal system = tetragonal
- calculated density (g/cm³) = 5.1
- magnetic moment (μB/cell) = 0.00

Entry 7:
Compound: BaY3Zr
Source: Alexandria
Functional: PBE
Structure: optimized geometry

Geometry as CIF:
```
data_BaY3Zr
_chemical_formula_sum 'Ba1 Y3 Zr1'
_symmetry_space_group_name_H-M 'P m -3 m'
_symmetry_Int_Tables_number 221
_symmetry_space_group_name_Hall '-P 4 2 3'
_cell_length_a 5.782
_cell_length_b 5.782
_cell_length_c 5.782
_cell_angle_alpha 90.00
_cell_angle_beta 90.00
_cell_angle_gamma 90.00
loop_
_atom_site_label
_atom_site_type_symbol
_atom_site_fract_x
_atom_site_fract_y
_atom_site_fract_z
Ba1 Ba 0.000 0.000 0.000
Y1 Y 0.000 0.500 0.500
Zr1 Zr 0.500 0.500 0.500
```

Properties
- energy relative to the lowest polymorph listed for this composition (meV/atom) = 0
- crystal system = cubic
- calculated density (g/cm³) = 4.3
- magnetic moment (μB/cell) = 0.00

Entry 8:
Compound: BaY2Zr
Source: Alexandria
Functional: PBE
Structure: optimized geometry

Geometry as CIF:
```
data_BaY2Zr
_chemical_formula_sum 'Ba1 Y2 Zr1'
_symmetry_space_group_name_H-M 'P 4/m m m'
_symmetry_Int_Tables_number 123
_symmetry_space_group_name_Hall '-P 4 2'
_cell_length_a 5.912
_cell_length_b 5.912
_cell_length_c 3.735
_cell_angle_alpha 90.00
_cell_angle_beta 90.00
_cell_angle_gamma 90.00
loop_
_atom_site_label
_atom_site_type_symbol
_atom_site_fract_x
_atom_site_fract_y
_atom_site_fract_z
Ba1 Ba 0.000 0.000 0.000
Y1 Y 0.000 0.500 0.500
Zr1 Zr 0.500 0.500 0.000
```

Properties
- energy relative to the lowest polymorph listed for this composition (meV/atom) = 270
- crystal system = tetragonal
- calculated density (g/cm³) = 5.2
- magnetic moment (μB/cell) = 0.00

| no. | DFT total energy (eV per atom) |
| --- | --- |
| 1 | -6.128 |
| 2 | -5.554 |
| 3 | -5.430 |
| 4 | -5.427 |
| 5 | -5.507 |
| 6 | -5.427 |
| 7 | -5.537 |
| 8 | -5.388 |